No. 1
{"formula": "RbLiBiAu", "functional": "GGA-PBE", "state": "relaxed", "lattice": [[0.000, 3.872, 3.872], [3.872, 0.000, 3.872], [3.872, 3.872, 0.000]], "species": ["Rb", "Li", "Bi", "Au"], "frac_coords": [[0.000, 0.000, 0.000], [0.500, 0.500, 0.500], [0.250, 0.250, 0.250], [0.750, 0.750, 0.750]], "space_group": "F-43m", "relative_energy_ev_per_atom": 0.216}



No. 2
{"formula": "LiYBiAu", "functional": "GGA-PBE", "state": "relaxed", "lattice": [[0.000, 3.596, 3.596], [3.596, 0.000, 3.596], [3.596, 3.596, 0.000]], "species": ["Li", "Y", "Bi", "Au"], "frac_coords": [[0.000, 0.000, 0.000], [0.250, 0.250, 0.250], [0.500, 0.500, 0.500], [0.750, 0.750, 0.750]], "space_group": "F-43m", "relative_energy_ev_per_atom": 0.373}



No. 3
{"formula": "LiYBiAu", "functional": "GGA-PBE", "state": "relaxed", "lattice": [[0.000, 3.608, 3.608], [3.608, 0.000, 3.608], [3.608, 3.608, 0.000]], "species": ["Li", "Y", "Bi", "Au"], "frac_coords": [[0.000, 0.000, 0.000], [0.500, 0.500, 0.500], [0.250, 0.250, 0.250], [0.750, 0.750, 0.750]], "space_group": "F-43m", "relative_energy_ev_per_atom": 0.000}



No. 4
{"formula": "LiYBiAu", "functional": "GGA-PBE", "state": "relaxed", "lattice": [[0.000, 3.581, 3.581], [3.581, 0.000, 3.581], [3.581, 3.581, 0.000]], "species": ["Li", "Y", "Bi", "Au"], "frac_coords": [[0.000, 0.000, 0.000], [0.750, 0.750, 0.750], [0.250, 0.250, 0.250], [0.500, 0.500, 0.500]], "space_group": "F-43m", "relative_energy_ev_per_atom": 0.215}



No. 5
{"formula": "Lu4BiAuN2", "functional": "GGA-PBE", "state": "relaxed", "lattice": [[3.493, 0.000, 0.000], [-1.746, 3.025, 0.000], [0.000, 0.000, 14.419]], "species": ["Lu", "Lu", "Lu", "Lu", "Bi", "Au", "N", "N"], "frac_coords": [[0.000, 0.000, 0.147], [0.000, 0.000, 0.853], [0.333, 0.667, 0.327], [0.333, 0.667, 0.673], [0.000, 0.000, 0.500], [0.333, 0.667, 0.000], [0.667, 0.333, 0.249], [0.667, 0.333, 0.751]], "space_group": "P-6m2", "e_tot_ev_per_atom": -6.42}



No. 6
{"formula": "MgBiAu2", "functional": "GGA-PBE", "state": "relaxed", "lattice": [[0.000, 3.499, 3.499], [3.499, 0.000, 3.499], [3.499, 3.499, 0.000]], "species": ["Mg", "Bi", "Au", "Au"], "frac_coords": [[0.000, 0.000, 0.000], [0.750, 0.750, 0.750], [0.250, 0.250, 0.250], [0.500, 0.500, 0.500]], "space_group": "F-43m", "e_tot_ev_per_atom": -3.11}



No. 7
{"formula": "MgBi2Au", "functional": "GGA-PBE", "state": "relaxed", "lattice": [[0.000, 3.723, 3.723], [3.723, 0.000, 3.723], [3.723, 3.723, 0.000]], "species": ["Mg", "Bi", "Bi", "Au"], "frac_coords": [[0.000, 0.000, 0.000], [0.500, 0.500, 0.500], [0.750, 0.750, 0.750], [0.250, 0.250, 0.250]], "space_group": "F-43m", "e_tot_ev_per_atom": -3.20}



No. 8
{"formula": "MgBiPdAu", "functional": "GGA-PBE", "state": "relaxed", "lattice": [[0.000, 3.428, 3.428], [3.428, 0.000, 3.428], [3.428, 3.428, 0.000]], "species": ["Mg", "Bi", "Pd", "Au"], "frac_coords": [[0.000, 0.000, 0.000], [0.500, 0.500, 0.500], [0.750, 0.750, 0.750], [0.250, 0.250, 0.250]], "space_group": "F-43m", "relative_energy_ev_per_atom": 0.000}



No. 9
{"formula": "MgBiPtAu", "functional": "GGA-PBE", "state": "relaxed", "lattice": [[0.000, 3.429, 3.429], [3.429, 0.000, 3.429], [3.429, 3.429, 0.000]], "species": ["Mg", "Bi", "Pt", "Au"], "frac_coords": [[0.000, 0.000, 0.000], [0.500, 0.500, 0.500], [0.750, 0.750, 0.750], [0.250, 0.250, 0.250]], "space_group": "F-43m", "relative_energy_ev_per_atom": 0.000}



No. 10
{"formula": "Mg2BiSbAu2", "functional": "GGA-PBE", "state": "relaxed", "lattice": [[11.472, 0.000, 0.000], [0.000, 4.678, 0.000], [-3.813, 0.000, 10.837]], "species": ["Mg", "Mg", "Mg", "Mg", "Mg", "Mg", "Mg", "Mg", "Bi", "Bi", "Bi", "Bi", "Sb", "Sb", "Sb", "Sb", "Au", "Au", "Au", "Au", "Au", "Au", "Au", "Au"], "frac_coords": [[0.000, 0.000, 0.000], [0.120, 0.500, 0.375], [0.244, 0.000, 0.746], [0.375, 0.500, 0.129], [0.498, 0.000, 0.501], [0.624, 0.500, 0.872], [0.748, 0.000, 0.252], [0.872, 0.500, 0.624], [0.121, 0.500, 0.874], [0.372, 0.500, 0.623], [0.499, 0.000, 0.002], [0.874, 0.500, 0.126], [0.250, 0.000, 0.251], [0.623, 0.500, 0.376], [0.746, 0.000, 0.747], [0.996, 0.000, 0.498], [0.130, 0.500, 0.132], [0.240, 0.000, 0.492], [0.372, 0.500, 0.875], [0.499, 0.000, 0.258], [0.628, 0.500, 0.624], [0.749, 0.000, 0.992], [0.872, 0.500, 0.380], [0.990, 0.000, 0.742]], "space_group": "Pm", "e_tot_ev_per_atom": -3.34}



No. 11
{"formula": "BiMo2Au", "functional": "GGA-PBE", "state": "relaxed", "lattice": [[0.000, 3.364, 3.364], [3.364, 0.000, 3.364], [3.364, 3.364, 0.000]], "species": ["Bi", "Mo", "Mo", "Au"], "frac_coords": [[0.000, 0.000, 0.000], [0.500, 0.500, 0.500], [0.750, 0.750, 0.750], [0.250, 0.250, 0.250]], "space_group": "F-43m", "e_tot_ev_per_atom": -6.48}



No. 12
{"formula": "BiMo4AuN2", "functional": "GGA-PBE", "state": "relaxed", "lattice": [[3.281, 0.000, 0.000], [-1.641, 2.842, 0.000], [0.000, 0.000, 13.088]], "species": ["Bi", "Mo", "Mo", "Mo", "Mo", "Au", "N", "N"], "frac_coords": [[0.000, 0.000, 0.000], [0.000, 0.000, 0.337], [0.000, 0.000, 0.663], [0.333, 0.667, 0.188], [0.333, 0.667, 0.812], [0.333, 0.667, 0.500], [0.667, 0.333, 0.256], [0.667, 0.333, 0.744]], "space_group": "P-6m2", "e_tot_ev_per_atom": -8.28}



No. 13
{"formula": "BiTeMoAu", "functional": "GGA-PBE", "state": "relaxed", "lattice": [[0.000, 3.580, 3.580], [3.580, 0.000, 3.580], [3.580, 3.580, 0.000]], "species": ["Bi", "Te", "Mo", "Au"], "frac_coords": [[0.000, 0.000, 0.000], [0.250, 0.250, 0.250], [0.500, 0.500, 0.500], [0.750, 0.750, 0.750]], "space_group": "F-43m", "relative_energy_ev_per_atom": 0.111}



No. 14
{"formula": "BiTeMoAu", "functional": "GGA-PBE", "state": "relaxed", "lattice": [[0.000, 3.559, 3.559], [3.559, 0.000, 3.559], [3.559, 3.559, 0.000]], "species": ["Bi", "Te", "Mo", "Au"], "frac_coords": [[0.000, 0.000, 0.000], [0.500, 0.500, 0.500], [0.750, 0.750, 0.750], [0.250, 0.250, 0.250]], "space_group": "F-43m", "relative_energy_ev_per_atom": 0.000}



No. 15
{"formula": "BiMoWAu", "functional": "GGA-PBE", "state": "relaxed", "lattice": [[0.000, 3.317, 3.317], [3.317, 0.000, 3.317], [3.317, 3.317, 0.000]], "species": ["Bi", "Mo", "W", "Au"], "frac_coords": [[0.000, 0.000, 0.000], [0.250, 0.250, 0.250], [0.750, 0.750, 0.750], [0.500, 0.500, 0.500]], "space_group": "F-43m", "relative_energy_ev_per_atom": 0.000}



No. 16
{"formula": "Rb4BiAu2N", "functional": "GGA-PBE", "state": "relaxed", "lattice": [[7.433, 0.000, 0.000], [0.000, 5.417, 3.440], [0.000, -5.417, 3.440]], "species": ["Rb", "Rb", "Rb", "Rb", "Bi", "Au", "Au", "N"], "frac_coords": [[0.000, 0.165, 0.835], [0.000, 0.835, 0.165], [0.500, 0.544, 0.878], [0.500, 0.878, 0.544], [0.000, 0.523, 0.523], [0.297, 0.267, 0.267], [0.703, 0.267, 0.267], [0.500, 0.062, 0.062]], "space_group": "Amm2", "e_tot_ev_per_atom": -2.96}



No. 17
{"formula": "Sc4BiAuN2", "functional": "GGA-PBE", "state": "relaxed", "lattice": [[3.327, 0.000, 0.000], [-1.664, 2.881, 0.000], [0.000, 0.000, 14.043]], "species": ["Sc", "Sc", "Sc", "Sc", "Bi", "Au", "N", "N"], "frac_coords": [[0.000, 0.000, 0.154], [0.000, 0.000, 0.846], [0.667, 0.333, 0.324], [0.667, 0.333, 0.676], [0.000, 0.000, 0.500], [0.667, 0.333, 0.000], [0.333, 0.667, 0.247], [0.333, 0.667, 0.753]], "space_group": "P-6m2", "e_tot_ev_per_atom": -7.35}



No. 18
{"formula": "Ta4BiAuN2", "functional": "GGA-PBE", "state": "relaxed", "lattice": [[3.285, 0.000, 0.000], [-1.643, 2.845, 0.000], [0.000, 0.000, 13.424]], "species": ["Ta", "Ta", "Ta", "Ta", "Bi", "Au", "N", "N"], "frac_coords": [[0.000, 0.000, 0.162], [0.000, 0.000, 0.838], [0.333, 0.667, 0.322], [0.333, 0.667, 0.678], [0.000, 0.000, 0.500], [0.333, 0.667, 0.000], [0.667, 0.333, 0.242], [0.667, 0.333, 0.758]], "space_group": "P-6m2", "e_tot_ev_per_atom": -9.23}



No. 19
{"formula": "BiW4AuN2", "functional": "GGA-PBE", "state": "relaxed", "lattice": [[2.932, 0.000, 0.000], [-1.466, 2.540, 0.000], [0.000, 0.000, 15.940]], "species": ["Bi", "W", "W", "W", "W", "Au", "N", "N"], "frac_coords": [[0.000, 0.000, 0.000], [0.000, 0.000, 0.350], [0.000, 0.000, 0.650], [0.667, 0.333, 0.178], [0.667, 0.333, 0.822], [0.667, 0.333, 0.500], [0.333, 0.667, 0.263], [0.333, 0.667, 0.737]], "space_group": "P-6m2", "e_tot_ev_per_atom": -8.96}



No. 20
{"formula": "NaBi5Au3", "functional": "GGA-PBE", "state": "relaxed", "lattice": [[5.957, 0.000, 0.000], [-2.978, 5.159, 0.000], [0.000, 0.000, 8.653]], "species": ["Na", "Bi", "Bi", "Bi", "Bi", "Bi", "Au", "Au", "Au"], "frac_coords": [[0.000, 0.000, 0.000], [0.000, 0.000, 0.500], [0.333, 0.667, 0.198], [0.333, 0.667, 0.802], [0.667, 0.333, 0.198], [0.667, 0.333, 0.802], [0.000, 0.500, 0.500], [0.500, 0.000, 0.500], [0.500, 0.500, 0.500]], "space_group": "P6/mmm", "e_tot_ev_per_atom": -3.45}



No. 21
{"formula": "RbNaBiAu", "functional": "GGA-PBE", "state": "relaxed", "lattice": [[0.000, 3.969, 3.969], [3.969, 0.000, 3.969], [3.969, 3.969, 0.000]], "species": ["Rb", "Na", "Bi", "Au"], "frac_coords": [[0.000, 0.000, 0.000], [0.500, 0.500, 0.500], [0.250, 0.250, 0.250], [0.750, 0.750, 0.750]], "space_group": "F-43m", "relative_energy_ev_per_atom": 0.413}



No. 22
{"formula": "RbNaBiAu", "functional": "GGA-PBE", "state": "relaxed", "lattice": [[6.694, 0.000, 0.000], [0.000, 5.332, 3.888], [0.000, -5.332, 3.888]], "species": ["Rb", "Rb", "Na", "Na", "Bi", "Bi", "Au", "Au"], "frac_coords": [[0.000, 0.172, 0.828], [0.000, 0.828, 0.172], [0.500, 0.216, 0.547], [0.500, 0.547, 0.216], [0.000, 0.401, 0.401], [0.500, 0.971, 0.971], [0.270, 0.669, 0.669], [0.730, 0.669, 0.669]], "space_group": "Amm2", "relative_energy_ev_per_atom": 0.044}



No. 23
{"formula": "RbNaBiAu", "functional": "GGA-PBE", "state": "relaxed", "lattice": [[0.000, 3.849, 3.849], [3.849, 0.000, 3.849], [3.849, 3.849, 0.000]], "species": ["Rb", "Na", "Bi", "Au"], "frac_coords": [[0.000, 0.000, 0.000], [0.250, 0.250, 0.250], [0.500, 0.500, 0.500], [0.750, 0.750, 0.750]], "space_group": "F-43m", "relative_energy_ev_per_atom": 0.208}



No. 24
{"formula": "RbNaBiAu", "functional": "GGA-PBE", "state": "relaxed", "lattice": [[0.000, 3.845, 3.845], [3.845, 0.000, 3.845], [3.845, 3.845, 0.000]], "species": ["Rb", "Na", "Bi", "Au"], "frac_coords": [[0.000, 0.000, 0.000], [0.250, 0.250, 0.250], [0.750, 0.750, 0.750], [0.500, 0.500, 0.500]], "space_group": "F-43m", "relative_energy_ev_per_atom": 0.257}



No. 25
{"formula": "RbNaBiAu", "functional": "GGA-PBE", "state": "relaxed", "lattice": [[6.726, 0.000, 0.000], [0.000, 3.822, 5.338], [0.000, -3.822, 5.338]], "species": ["Rb", "Rb", "Na", "Na", "Bi", "Bi", "Au", "Au"], "frac_coords": [[0.250, 0.200, 0.800], [0.750, 0.800, 0.200], [0.250, 0.527, 0.147], [0.750, 0.147, 0.527], [0.250, 0.953, 0.384], [0.750, 0.384, 0.953], [0.000, 0.705, 0.705], [0.500, 0.705, 0.705]], "space_group": "Ama2", "relative_energy_ev_per_atom": 0.028}



No. 26
{"formula": "RbNa3Bi2Au2", "functional": "GGA-PBE", "state": "relaxed", "lattice": [[6.096, 0.000, 0.000], [0.000, 6.152, 0.000], [-1.851, 0.000, 6.465]], "species": ["Rb", "Na", "Na", "Na", "Bi", "Bi", "Au", "Au"], "frac_coords": [[0.000, 0.000, 0.000], [0.028, 0.500, 0.292], [0.365, 0.000, 0.656], [0.660, 0.500, 0.608], [0.238, 0.500, 0.820], [0.796, 0.000, 0.455], [0.536, 0.259, 0.138], [0.536, 0.741, 0.138]], "space_group": "Pm", "e_tot_ev_per_atom": -2.80}



No. 27
{"formula": "RbNaBiAu", "functional": "GGA-PBE", "state": "relaxed", "lattice": [[6.158, 0.000, 0.000], [0.000, 6.226, 0.000], [-2.044, 0.000, 6.896]], "species": ["Rb", "Rb", "Na", "Na", "Bi", "Bi", "Au", "Au"], "frac_coords": [[0.046, 0.250, 0.156], [0.954, 0.750, 0.844], [0.341, 0.750, 0.525], [0.659, 0.250, 0.475], [0.250, 0.250, 0.688], [0.750, 0.750, 0.312], [0.500, 0.000, 0.000], [0.500, 0.500, 0.000]], "space_group": "P2_1/m", "relative_energy_ev_per_atom": 0.000}